i) Ti2Ga4Cu: relaxed, GGA-PBE.

Lattice parameters (Å, degrees): 5.2926 5.2035 8.4015 90.00 106.71 90.00
Space group P2_1/m (No. 11)
Symmetry-distinct sites (fractional):
Ti1 0.0875 0.2500 0.4257
Ti2 0.3411 0.7500 0.9889
Ga1 0.1888 0.2500 0.1218
Ga2 0.3178 0.7500 0.4341
Ga3 0.3732 0.0026 0.7185
Cu1 0.0465 0.2500 0.8216

ii) Ti2Ga4Cu: relaxed, GGA-PBE.

Lattice parameters (Å, degrees): 5.5625 5.5625 7.4474 90.00 90.00 90.00
Space group I4/mmm (No. 139)
Symmetry-distinct sites (fractional):
Ti1 0.0000 0.5000 0.0000
Ga1 0.2500 0.2500 0.2500
Cu1 0.0000 0.0000 0.0000

Of them, i) has the lowest stability.

i) Ti3Ga2Cu: relaxed, GGA-PBE.

Lattice parameters (Å, degrees): 3.9416 11.9903 3.8875 90.00 90.00 90.00
Space group Cmmm (No. 65)
Symmetry-distinct sites (fractional):
Ti1 0.0000 0.0000 0.0000
Ti2 0.0000 0.3331 0.0000
Ga1 0.0000 0.1610 0.5000
Cu1 0.0000 0.5000 0.5000

ii) Ti3Ga2Cu: relaxed, GGA-PBE.

Lattice parameters (Å, degrees): 2.8078 2.8078 11.6204 90.00 90.00 90.00
Space group P4/mmm (No. 123)
Symmetry-distinct sites (fractional):
Ti1 0.0000 0.0000 0.0000
Ti2 0.0000 0.0000 0.3403
Ga1 0.5000 0.5000 0.1711
Cu1 0.5000 0.5000 0.5000

Of them, ii) has the lowest stability.